1.
Crystalline NaAg7Pd2 at its relaxed geometry, computed with PBE-GGA.

Cell: 7.6186 7.6186 4.7855 Å, 90.00 90.00 121.26°
Closest atoms and distances in Å follow each position.
Element x y z (fractional)
Na 0.0000 0.0000 0.0000  10 Ag 2.82-3.13
Ag 0.0709 0.2951 0.5000  2 Pd 2.67-2.79, 3 Ag 2.73-2.98
Ag 0.2120 0.7880 0.0000  2 Pd 2.63, 1 Na 2.82
Ag 0.2951 0.0709 0.5000  2 Pd 2.67-2.79, 3 Ag 2.73-2.98
Ag 0.5000 0.5000 0.5000  2 Pd 2.72, 4 Ag 2.80
Ag 0.7049 0.9291 0.5000  2 Pd 2.67-2.79, 3 Ag 2.73-2.98
Ag 0.7880 0.2120 0.0000  2 Pd 2.63, 1 Na 2.82
Ag 0.9291 0.7049 0.5000  2 Pd 2.67-2.79, 3 Ag 2.73-2.98
Pd 0.2951 0.7049 0.5000  7 Ag 2.63-2.79
Pd 0.7049 0.2951 0.5000  7 Ag 2.63-2.79

* formation energy from the elements: 0.31 eV per atom
* spin magnetization: 0.00 μB per atom

2.
Crystalline NaAg3Pd6 at its relaxed geometry, computed with PBE-GGA.

Cell: 4.9590 4.9620 7.5393 Å, 70.81 83.32 69.47°
Closest atoms and distances in Å follow each position.
Element x y z (fractional)
Na 0.0000 0.0000 0.0000  4 Ag 2.83-2.87, 8 Pd 2.86-2.88
Ag 0.9999 0.2019 0.5965  9 Pd 2.83-2.87, 2 Ag 2.84, 1 Na 2.87
Ag 0.0001 0.7981 0.4035  9 Pd 2.83-2.87, 2 Ag 2.84, 1 Na 2.87
Ag 0.5000 0.5000 0.0000  10 Pd 2.82-2.88, 2 Na 2.83
Pd 0.0000 0.4001 0.1996  5 Ag 2.83-2.87, 5 Pd 2.83-2.85, 2 Na 2.86
Pd 0.0000 0.5999 0.8004  5 Ag 2.83-2.87, 5 Pd 2.83-2.85, 2 Na 2.86
Pd 0.4999 0.1027 0.7947  6 Pd 2.83-2.92, 4 Ag 2.85-2.88, 2 Na 2.88
Pd 0.5001 0.3017 0.3966  5 Ag 2.82-2.86, 7 Pd 2.83-2.89
Pd 0.4999 0.6983 0.6034  5 Ag 2.82-2.86, 7 Pd 2.83-2.89
Pd 0.5001 0.8973 0.2053  6 Pd 2.83-2.92, 4 Ag 2.85-2.88, 2 Na 2.88

* formation energy from the elements: -0.04 eV per atom
* spin magnetization: 0.00 μB per atom

3.
Crystalline NaAg5Pd2 at its relaxed geometry, computed with PBE-GGA.

Cell: 6.3978 6.3978 6.3978 Å, 140.41 99.84 93.35°
Closest atoms and distances in Å follow each position.
Element x y z (fractional)
Na 0.0000 0.0000 0.0000  4 Pd 2.75
Ag 0.1628 0.3341 0.8287  3 Pd 2.72-2.87, 6 Ag 2.82-2.97
Ag 0.4947 0.6659 0.8287  3 Pd 2.72-2.87, 6 Ag 2.82-2.97
Ag 0.5000 0.0000 0.5000  2 Pd 2.69, 8 Ag 2.97
Ag 0.5053 0.3341 0.1713  3 Pd 2.72-2.87, 6 Ag 2.82-2.97
Ag 0.8372 0.6659 0.1713  3 Pd 2.72-2.87, 6 Ag 2.82-2.97
Pd 0.1933 0.6933 0.5000  7 Ag 2.69-2.87, 2 Na 2.75
Pd 0.8067 0.3067 0.5000  7 Ag 2.69-2.87, 2 Na 2.75

* formation energy from the elements: 0.09 eV per atom
* spin magnetization: 0.00 μB per atom

4.
Crystalline RbNa2AgPd at its relaxed geometry, computed with PBE-GGA.

Cell: 5.4881 5.4881 5.4068 Å, 90.00 90.00 90.00°
Closest atoms and distances in Å follow each position.
Element x y z (fractional)
Rb 0.0000 0.0000 0.0000  8 Na 3.85, 4 Ag 3.88
Na 0.0000 0.5000 0.5000  2 Pd 2.74
Na 0.5000 0.0000 0.5000  2 Pd 2.74
Ag 0.5000 0.5000 0.0000  2 Pd 2.70
Pd 0.5000 0.5000 0.5000  2 Ag 2.70, 4 Na 2.74

* formation energy from the elements: 0.04 eV per atom
* spin magnetization: 0.00 μB per atom

5.
Crystalline Na2AgPdS at its relaxed geometry, computed with PBE-GGA.

Cell: 5.1507 5.1507 5.1136 Å, 90.00 90.00 90.00°
Closest atoms and distances in Å follow each position.
Element x y z (fractional)
Na 0.0000 0.5000 0.0000  2 Pd 2.58
Na 0.5000 0.0000 0.0000  2 Pd 2.58
Ag 0.0000 0.0000 0.5000  2 Pd 2.56
Pd 0.0000 0.0000 0.0000  2 Ag 2.56, 4 Na 2.58
S 0.5000 0.5000 0.5000  8 Na 3.63, 4 Ag 3.64

* formation energy without anion corrections: 0.34 eV per atom
* spin magnetization: 0.00 μB per atom

6.
Crystalline NaSiAg2Pd at its relaxed geometry, computed with PBE-GGA.

Cell: 4.7094 4.7094 5.2004 Å, 90.00 90.00 90.00°
Closest atoms and distances in Å follow each position.
Element x y z (fractional)
Na 0.0000 0.0000 0.0000  2 Si 2.60
Si 0.0000 0.0000 0.5000  4 Ag 2.35, 2 Na 2.60
Ag 0.0000 0.5000 0.5000  2 Si 2.35
Ag 0.5000 0.0000 0.5000  2 Si 2.35
Pd 0.5000 0.5000 0.0000  4 Na 3.33, 8 Ag 3.51

* formation energy without anion corrections: 0.55 eV per atom
* spin magnetization: 0.00 μB per atom

7.
Crystalline Na2Si2AgPd5 at its relaxed geometry, computed with PBE-GGA.

Cell: 10.5929 10.5929 3.0646 Å, 90.00 90.00 90.00°
Closest atoms and distances in Å follow each position.
Element x y z (fractional)
Na 0.1746 0.3254 0.0000  3 Si 2.95-3.25, 10 Pd 3.03-3.21, 2 Na 3.06
Na 0.3254 0.8254 0.0000  3 Si 2.95-3.25, 10 Pd 3.03-3.21, 2 Na 3.06
Na 0.6746 0.1746 0.0000  3 Si 2.95-3.25, 10 Pd 3.03-3.21, 2 Na 3.06
Na 0.8254 0.6746 0.0000  3 Si 2.95-3.25, 10 Pd 3.03-3.21, 2 Na 3.06
Si 0.1288 0.6288 0.0000  6 Pd 2.38-2.46
Si 0.3712 0.1288 0.0000  6 Pd 2.38-2.46
Si 0.6288 0.8712 0.0000  6 Pd 2.38-2.46
Si 0.8712 0.3712 0.0000  6 Pd 2.38-2.46
Ag 0.0000 0.0000 0.0000  8 Pd 2.80, 2 Ag 3.06
Ag 0.5000 0.5000 0.0000  8 Pd 2.80, 2 Ag 3.06
Pd 0.0000 0.5000 0.5000  4 Si 2.46
Pd 0.0659 0.7890 0.5000  2 Si 2.38
Pd 0.2110 0.0659 0.5000  2 Si 2.38
Pd 0.2890 0.5659 0.5000  2 Si 2.38
Pd 0.4341 0.2890 0.5000  2 Si 2.38
Pd 0.5000 0.0000 0.5000  4 Si 2.46
Pd 0.5659 0.7110 0.5000  2 Si 2.38
Pd 0.7110 0.4341 0.5000  2 Si 2.38
Pd 0.7890 0.9341 0.5000  2 Si 2.38
Pd 0.9341 0.2110 0.5000  2 Si 2.38

* formation energy without anion corrections: -0.41 eV per atom
* spin magnetization: 0.00 μB per atom

8.
Crystalline Na2TaAgPd at its relaxed geometry, computed with PBE-GGA.

Cell: 4.7335 4.7335 5.2086 Å, 90.00 90.00 90.00°
Closest atoms and distances in Å follow each position.
Element x y z (fractional)
Na 0.0000 0.5000 0.0000  2 Ag 2.37
Na 0.5000 0.0000 0.0000  2 Ag 2.37
Ta 0.0000 0.0000 0.5000  4 Pd 3.35, 8 Na 3.52
Ag 0.5000 0.5000 0.0000  4 Na 2.37, 2 Pd 2.60
Pd 0.5000 0.5000 0.5000  2 Ag 2.60

* formation energy from the elements: 1.36 eV per atom
* spin magnetization: 0.00 μB per atom

9.
Crystalline NaTbAgPd at its relaxed geometry, computed with PBE-GGA.

Cell: 4.9695 4.9695 4.9695 Å, 60.00 60.00 60.00°
Closest atoms and distances in Å follow each position.
Element x y z (fractional)
Na 0.0000 0.0000 0.0000  4 Pd 3.04, 4 Ag 3.04
Tb 0.5000 0.5000 0.5000  4 Pd 3.04, 4 Ag 3.04
Ag 0.7500 0.7500 0.7500  4 Tb 3.04, 4 Na 3.04
Pd 0.2500 0.2500 0.2500  4 Tb 3.04, 4 Na 3.04

* formation energy from the elements: -0.30 eV per atom
* spin magnetization: 0.00 μB per atom

10.
Crystalline NaTl2AgPd at its relaxed geometry, computed with PBE-GGA.

Cell: 5.2620 5.2620 5.3514 Å, 90.00 90.00 90.00°
Closest atoms and distances in Å follow each position.
Element x y z (fractional)
Na 0.0000 0.0000 0.0000  4 Ag 3.72, 8 Tl 3.75
Tl 0.0000 0.5000 0.5000  2 Pd 2.63
Tl 0.5000 0.0000 0.5000  2 Pd 2.63
Ag 0.5000 0.5000 0.0000  2 Pd 2.68
Pd 0.5000 0.5000 0.5000  4 Tl 2.63, 2 Ag 2.68

* formation energy from the elements: 0.05 eV per atom
* spin magnetization: 0.00 μB per atom

11.
Crystalline NaTlAgPd at its relaxed geometry, computed with PBE-GGA.

Cell: 4.8248 4.8248 4.8248 Å, 60.00 60.00 60.00°
Closest atoms and distances in Å follow each position.
Element x y z (fractional)
Na 0.0000 0.0000 0.0000  4 Tl 2.95, 4 Ag 2.95
Tl 0.2500 0.2500 0.2500  4 Pd 2.95, 4 Na 2.95
Ag 0.7500 0.7500 0.7500  4 Pd 2.95, 4 Na 2.95
Pd 0.5000 0.5000 0.5000  4 Ag 2.95, 4 Tl 2.95

* formation energy from the elements: -0.09 eV per atom
* spin magnetization: 0.00 μB per atom

12.
Crystalline NaTlAgPd at its relaxed geometry, computed with PBE-GGA.

Cell: 5.0822 5.0822 5.0822 Å, 128.09 128.09 76.48°
Closest atoms and distances in Å follow each position.
Element x y z (fractional)
Na 0.0000 0.0000 0.0000  4 Tl 2.99, 4 Ag 2.99, 4 Pd 3.15
Tl 0.7500 0.2500 0.5000  4 Na 2.99, 4 Pd 2.99, 4 Ag 3.15
Ag 0.2500 0.7500 0.5000  4 Na 2.99, 4 Pd 2.99, 4 Tl 3.15
Pd 0.5000 0.5000 0.0000  4 Tl 2.99, 4 Ag 2.99, 4 Na 3.15

* formation energy from the elements: -0.10 eV per atom
* spin magnetization: 0.00 μB per atom